Version 1
Below is a geometry-optimized SrRh2Cl structure, with properties calculated at the PBE-GGA level.

Results
Density of states at the Fermi level ... 3.25 states/eV per cell
M_tot ... 1.8 μB per formula unit

```
4
Lattice="-3.127 2.108 5.173 -1.131 -1.055 6.213 2.648 2.207 1.630" Properties=species:S:1:pos:R:3 pbc="T T T"
Cl -0.402 0.815 3.254
Sr -1.207 2.445 9.762
Rh 2.571 2.151 1.607
Rh -0.727 1.687 6.530
```

***

Version 2
Below is a geometry-optimized SrRh2Cl structure, with properties calculated at the PBE-GGA level.

Results
Density of states at the Fermi level ... 3.67 states/eV per cell
M_tot ... 0.0 μB per formula unit

```
4
Lattice="-2.413 -1.968 0.762 2.177 -1.427 1.870 -1.900 4.523 5.664" Properties=species:S:1:pos:R:3 pbc="T T T"
Cl -1.543 1.695 5.564
Rh -1.040 2.476 3.100
Rh -1.810 4.309 5.396
Sr -0.593 -0.567 2.732
```

***

Version 3
Below is a geometry-optimized SrRh2Cl structure, with properties calculated at the PBE-GGA level.

Results
Density of states at the Fermi level ... 3.72 states/eV per cell
M_tot ... 0.8 μB per formula unit

```
4
Lattice="-1.530 -2.153 2.251 -0.197 -2.433 -2.461 6.727 -3.893 0.849" Properties=species:S:1:pos:R:3 pbc="T T T"
Rh 0.545 -2.377 0.773
Rh 0.504 -2.241 -1.800
Cl 3.794 -6.155 -0.633
Sr 3.224 -3.302 -0.967
```

***

Relative to the most stable structure, the computed energies are version 1 191; version 2 779; version 3 0, all in meV/atom.

***

Version 1
Below is a geometry-optimized SrRh2Cl structure, with properties calculated at the PBE-GGA level.

Results
Density of states at the Fermi level ... 2.95 states/eV per cell
M_tot ... 2.1 μB per formula unit

```
4
Lattice="-1.873 1.840 -2.790 -1.034 -3.359 -1.521 -4.978 0.015 3.351" Properties=species:S:1:pos:R:3 pbc="T T T"
Rh -1.453 -0.759 -2.156
Rh 0.000 0.000 0.000
Sr -3.425 0.928 0.280
Cl -3.006 -1.672 0.915
```

***

Version 2
Below is a geometry-optimized SrRh2Cl structure, with properties calculated at the PBE-GGA level.

Results
Density of states at the Fermi level ... 3.77 states/eV per cell
M_tot ... 0.7 μB per formula unit

```
4
Lattice="-0.093 -1.554 3.099 -0.367 -3.082 -1.557 7.685 -0.822 -0.182" Properties=species:S:1:pos:R:3 pbc="T T T"
Rh 1.325 -2.485 0.734
Rh 0.791 -0.085 -0.019
Sr 3.805 -0.407 -0.090
Cl 5.148 -2.894 0.644
```

***

Relative to the most stable structure, the computed energies are version 1 192; version 2 0, all in meV/atom.

***

Version 1
Below is a geometry-optimized SrRh3Cl structure, with properties calculated at the PBE-GGA level.

Results
Density of states at the Fermi level ... 5.16 states/eV per cell
M_tot ... 0.0 μB per formula unit

```
5
Lattice="4.570 0.000 0.000 0.000 4.570 0.000 0.000 0.000 4.570" Properties=species:S:1:pos:R:3 pbc="T T T"
Cl 0.000 0.000 0.000
Sr 2.285 2.285 2.285
Rh 0.000 2.285 0.000
Rh 0.000 0.000 2.285
Rh 2.285 0.000 0.000
```

***

Version 2
Below is a geometry-optimized SrRh3Cl structure, with properties calculated at the PBE-GGA level.

Results
Density of states at the Fermi level ... 7.73 states/eV per cell
M_tot ... 3.1 μB per formula unit

```
5
Lattice="-5.013 -1.336 0.024 1.315 -4.949 -0.835 0.238 -0.801 5.121" Properties=species:S:1:pos:R:3 pbc="T T T"
Rh 0.657 -2.475 -0.418
Rh 0.119 -0.401 2.560
Rh -2.507 -0.668 0.012
Sr 0.000 0.000 0.000
Cl -1.731 -3.543 2.155
```

***

Relative to the most stable structure, the computed energies are version 1 0; version 2 1552, all in meV/atom.

***

Version 1
Below is a geometry-optimized TaRhCl3 structure, with properties calculated at the PBE-GGA level.

Results
Density of states at the Fermi level ... 16.09 states/eV per cell
M_tot ... 0.0 μB per formula unit

```
5
Lattice="-1.409 -4.178 1.942 2.378 -2.399 -3.436 3.946 -0.046 2.764" Properties=species:S:1:pos:R:3 pbc="T T T"
Cl 1.189 -1.199 -1.718
Cl 1.973 -0.023 1.382
Cl -0.704 -2.089 0.971
Rh 2.458 -3.311 0.635
Ta 0.000 0.000 0.000
```

***

Version 2
Below is a geometry-optimized TaRhCl3 structure, with properties calculated at the PBE-GGA level.

Results
Density of states at the Fermi level ... 6.31 states/eV per cell
M_tot ... 3.3 μB per formula unit

```
5
Lattice="4.768 0.000 0.000 0.000 4.768 0.000 0.000 0.000 4.768" Properties=species:S:1:pos:R:3 pbc="T T T"
Cl 0.000 2.384 0.000
Cl 2.384 0.000 0.000
Cl 0.000 0.000 2.384
Rh 0.000 0.000 0.000
Ta 2.384 2.384 2.384
```

***

Relative to the most stable structure, the computed energies are version 1 0; version 2 389, all in meV/atom.

***

Version 1
Below is a geometry-optimized TaRhCl structure, with properties calculated at the PBE-GGA level.

Results
Density of states at the Fermi level ... 3.36 states/eV per cell
M_tot ... 0.0 μB per formula unit

```
3
Lattice="-4.297 0.137 0.277 -2.411 -2.218 -2.798 -2.185 -3.471 1.318" Properties=species:S:1:pos:R:3 pbc="T T T"
Rh -4.446 -2.776 -0.602
Ta -6.670 -4.164 -0.902
Cl 0.000 0.000 0.000
```

***

Version 2
Below is a geometry-optimized TaRhCl structure, with properties calculated at the PBE-GGA level.

Results
Density of states at the Fermi level ... 2.67 states/eV per cell
M_tot ... 0.0 μB per formula unit

```
3
Lattice="6.476 -0.182 0.192 5.867 2.751 0.188 0.610 0.131 2.930" Properties=species:S:1:pos:R:3 pbc="T T T"
Rh 4.123 0.861 2.167
Ta 8.477 1.766 1.221
Cl 0.964 0.205 2.854
```

***

Relative to the most stable structure, the computed energies are version 1 547; version 2 0, all in meV/atom.

***

Version 1
Below is a geometry-optimized TaRhCl structure, with properties calculated at the PBE-GGA level.

Results
Density of states at the Fermi level ... 2.12 states/eV per cell
M_tot ... 0.0 μB per formula unit

```
3
Lattice="4.297 0.000 0.000 -2.148 3.721 0.000 0.000 0.000 2.988" Properties=species:S:1:pos:R:3 pbc="T T T"
Cl 0.000 0.000 2.490
Rh 0.000 2.481 0.996
Ta 2.148 1.240 2.489
```

***

Version 2
Below is a geometry-optimized TaRhCl structure, with properties calculated at the PBE-GGA level.

Results
Density of states at the Fermi level ... 1.74 states/eV per cell
M_tot ... 0.0 μB per formula unit

```
3
Lattice="4.358 0.000 0.000 2.179 3.774 0.000 2.179 1.258 3.558" Properties=species:S:1:pos:R:3 pbc="T T T"
Rh 6.536 3.774 2.668
Cl 4.358 2.516 1.779
Ta 0.000 0.000 0.000
```

***

Relative to the most stable structure, the computed energies are version 1 0; version 2 564, all in meV/atom.